La5Co, optimized geometry, DFT PBE; density of states at the Fermi level = 6.59 states/eV/cell; total moment = 0.01 Bohr magnetons per cell; SG = P-62m, No. 189; electronic total energy = -30.5 eV/cell; E above lowest polymorph = 0.1999 eV/atom; energy of formation from the pure elements = 0.20 eV per atom
1.0
3.245 -5.621 0.000
3.245 5.621 0.000
0.000 0.000 4.948
La Co
5 1
Direct
0.333 0.667 0.500
0.719 0.000 0.000
0.000 0.719 0.000
0.667 0.333 0.500
0.281 0.281 0.000
0.000 0.000 0.500

---

RbS2NCl, optimized geometry, DFT PBE; density of states at the Fermi level = 6.69 states/eV/cell; total moment = 7.04 Bohr magnetons per cell; SG = P4/mmm, No. 123; electronic total energy = -11.7 eV/cell; E above lowest polymorph = 1.1952 eV/atom; E_form (uncorrected) = 7.74 eV per formula unit
1.0
6.991 0.000 0.000
0.000 6.991 0.000
0.000 0.000 6.240
Rb Cl S N
1 1 2 1
Direct
0.000 0.000 0.000
0.000 0.000 0.500
0.500 0.000 0.000
0.000 0.500 0.000
0.500 0.500 0.500